A plane-wave DFT calculation with meta-GGA SCAN was carried out for a crystal of Mo3IrRh relaxed with PBEsol.

Cell lengths 4.619, 4.619, 4.619 Å; angles 90.00, 90.00, 90.00 degrees
Space group Pm-3m (No. 221)
One atom of each set of equivalent atoms:
Mo1 0.000 0.000 0.500
Ir1 0.000 0.000 0.000
Rh1 0.500 0.500 0.500

Results
**VASP energy**: -200.9 eV for the cell shown
**Formation enthalpy at 0 K**: 1.717 eV per atom
**D(E_F)**: 5.1 states/eV/f.u.

---

A plane-wave DFT calculation with meta-GGA SCAN was carried out for a crystal of MoIrRh relaxed with PBEsol.

Cell lengths 2.702, 3.847, 8.186 Å; angles 90.00, 90.00, 90.00 degrees
Space group Imm2 (No. 44)
One atom of each set of equivalent atoms:
Mo1 0.000 0.000 0.000
Ir1 0.000 0.000 0.336
Rh1 0.000 0.000 0.668

Results
**Distance to the lowest polymorph of the same formula**: 0.000 eV/atom
**VASP energy**: -281.0 eV for the cell shown
**Formation enthalpy at 0 K**: -0.249 eV per atom
**D(E_F)**: 2.5 states/eV/f.u.

---

A plane-wave DFT calculation with meta-GGA SCAN was carried out for a crystal of MoIrRh relaxed with PBEsol.

Cell lengths 4.3022, 4.3022, 2.6895 Å; angles 90.00, 90.00, 120.00 degrees
Space group P-6m2 (No. 187)
One atom of each set of equivalent atoms:
Mo1 0.0000 0.0000 0.0000
Ir1 0.6667 0.3333 0.5000
Rh1 0.3333 0.6667 0.0000

Results
**Distance to the lowest polymorph of the same formula**: 0.132 eV/atom
**VASP energy**: -140.1 eV for the cell shown
**Formation enthalpy at 0 K**: -0.117 eV per atom
**D(E_F)**: 2.8 states/eV/f.u.

---

Look up the formation enthalpy at 0 K of the third one.
-0.117 eV per atom